First-principles (PBE) data for a geometry-optimized La2Pm3YAs6 structure, as listed in Alexandria via LeMat-Bulk.

The energy of formation from the pure elements is -1537 meV/atom. The electronic total energy is -6.410 eV/atom.

The space group is C2/m (No. 12) and the conventional cell measures 18.597, 4.270 and 8.537 Å, with angles of 90.00, 103.32 and 90.00 degrees. The asymmetric unit holds La at (0.165, 0.000, 0.331), Pm at (0.000, 0.500, 0.500), Pm at (0.167, 0.000, 0.834), Y at (0.000, 0.500, 0.000), As at (0.002, 0.000, 0.756), As at (0.165, 0.500, 0.078) and As at (0.165, 0.500, 0.587).